A geometry-optimized TaTiB4 structure. Source: the Alexandria database, functional GGA-PBE.

The structure in CIF format:
```
data_TaTiB4
_symmetry_space_group_name_H-M 'P 1'
_symmetry_Int_Tables_number 1
_symmetry_space_group_name_Hall 'P 1'
_cell_length_a 3.1613
_cell_length_b 3.1613
_cell_length_c 5.7858
_cell_angle_alpha 105.85
_cell_angle_beta 105.85
_cell_angle_gamma 90.00
loop_
_atom_site_label
_atom_site_type_symbol
_atom_site_fract_x
_atom_site_fract_y
_atom_site_fract_z
_atom_site_occupancy
B1 B 0.8316 0.3316 0.6632 1
B2 B 0.5850 0.5850 0.1700 1
B3 B 0.4150 0.4150 0.8300 1
B4 B 0.6684 0.1684 0.3368 1
Ti1 Ti 0.2500 0.7500 0.5000 1
Ta1 Ta 0.0000 0.0000 0.0000 1
```

- Total magnetization: 0.00 μB/cell
- Formation energy: -5.2 eV/f.u.
- Raw total energy: -8.614 eV per atom
- Space-group type: I-4m2

---

A geometry-optimized Ta2BeCo structure. Source: the Alexandria database, functional GGA-PBE.

The structure in CIF format:
```
data_Ta2BeCo
_symmetry_space_group_name_H-M 'P 1'
_symmetry_Int_Tables_number 1
_symmetry_space_group_name_Hall 'P 1'
_cell_length_a 6.7479
_cell_length_b 6.7479
_cell_length_c 5.4495
_cell_angle_alpha 51.75
_cell_angle_beta 51.75
_cell_angle_gamma 90.00
loop_
_atom_site_label
_atom_site_type_symbol
_atom_site_fract_x
_atom_site_fract_y
_atom_site_fract_z
_atom_site_occupancy
Ta1 Ta 0.6435 0.1250 0.2500 1
Ta2 Ta 0.8750 0.8935 0.7500 1
Ta3 Ta 0.1065 0.6250 0.2500 1
Ta4 Ta 0.3750 0.3565 0.7500 1
Co1 Co 0.0000 0.0000 0.0000 1
Co2 Co 0.7500 0.2500 0.5000 1
Be1 Be 0.5000 0.5000 0.0000 1
Be2 Be 0.2500 0.7500 0.5000 1
```

- Total magnetization: 0.00 μB/cell
- Formation energy: 1.8 eV/f.u.
- Raw total energy: -8.177 eV per atom
- Space-group type: I-42d

---

A geometry-optimized EuEr structure. Source: the Alexandria database, functional GGA-PBE.

The structure in CIF format:
```
data_EuEr
_symmetry_space_group_name_H-M 'P 1'
_symmetry_Int_Tables_number 1
_symmetry_space_group_name_Hall 'P 1'
_cell_length_a 3.5846
_cell_length_b 7.0285
_cell_length_c 5.7501
_cell_angle_alpha 90.00
_cell_angle_beta 90.00
_cell_angle_gamma 77.58
loop_
_atom_site_label
_atom_site_type_symbol
_atom_site_fract_x
_atom_site_fract_y
_atom_site_fract_z
_atom_site_occupancy
Er1 Er 0.4578 0.1263 0.2500 1
Er2 Er 0.5422 0.8737 0.7500 1
Eu1 Eu 0.1484 0.6578 0.2500 1
Eu2 Eu 0.8516 0.3422 0.7500 1
```

- Total magnetization: 15.46 μB/cell
- Formation energy: 0.3 eV/f.u.
- Raw total energy: -7.287 eV per atom
- Space-group type: P2_1/m
- Energy above the lowest structure with this stoichiometry: 0.0247 eV per atom

---

A geometry-optimized Er2Be12TcB3 structure. Source: the Alexandria database, functional GGA-PBE.

The structure in CIF format:
```
data_Er2Be12TcB3
_symmetry_space_group_name_H-M 'P 1'
_symmetry_Int_Tables_number 1
_symmetry_space_group_name_Hall 'P 1'
_cell_length_a 6.8497
_cell_length_b 6.8497
_cell_length_c 6.8497
_cell_angle_alpha 57.63
_cell_angle_beta 57.63
_cell_angle_gamma 57.63
loop_
_atom_site_label
_atom_site_type_symbol
_atom_site_fract_x
_atom_site_fract_y
_atom_site_fract_z
_atom_site_occupancy
Be1 Be 0.1395 0.5385 0.1395 1
Be2 Be 0.0790 0.7501 0.7501 1
Be3 Be 0.8605 0.4615 0.8605 1
Be4 Be 0.7501 0.7501 0.0790 1
Be5 Be 0.2499 0.2499 0.9210 1
Be6 Be 0.7501 0.0790 0.7501 1
Be7 Be 0.2499 0.9210 0.2499 1
Be8 Be 0.8605 0.8605 0.4615 1
Be9 Be 0.5385 0.1395 0.1395 1
Be10 Be 0.9210 0.2499 0.2499 1
Be11 Be 0.4615 0.8605 0.8605 1
Be12 Be 0.1395 0.1395 0.5385 1
Tc1 Tc 0.0000 0.0000 0.0000 1
Er1 Er 0.5936 0.5936 0.5936 1
Er2 Er 0.4064 0.4064 0.4064 1
B1 B 0.5000 0.0000 0.0000 1
B2 B 0.0000 0.0000 0.5000 1
B3 B 0.0000 0.5000 0.0000 1
```

- Total magnetization: 0.00 μB/cell
- Formation energy: 5.7 eV/f.u.
- Raw total energy: -4.364 eV per atom
- Space-group type: R-3m

---

A geometry-optimized BaCuS2 structure. Source: the Alexandria database, functional GGA-PBE.

The structure in CIF format:
```
data_BaCuS2
_symmetry_space_group_name_H-M 'P 1'
_symmetry_Int_Tables_number 1
_symmetry_space_group_name_Hall 'P 1'
_cell_length_a 4.0107
_cell_length_b 4.0107
_cell_length_c 6.3375
_cell_angle_alpha 108.45
_cell_angle_beta 108.45
_cell_angle_gamma 90.00
loop_
_atom_site_label
_atom_site_type_symbol
_atom_site_fract_x
_atom_site_fract_y
_atom_site_fract_z
_atom_site_occupancy
Ba1 Ba 0.0000 0.0000 0.0000 1
S1 S 0.6471 0.6471 0.2943 1
S2 S 0.3529 0.3529 0.7057 1
Cu1 Cu 0.7500 0.2500 0.5000 1
```

- Total magnetization: 0.00 μB/cell
- Energy relative to the elements, uncorrected: -1.01 eV/atom
- Raw total energy: -4.576 eV per atom
- Space-group type: I-4m2

---

A geometry-optimized SrCaP2 structure. Source: the Alexandria database, functional GGA-PBE.

The structure in CIF format:
```
data_SrCaP2
_symmetry_space_group_name_H-M 'P 1'
_symmetry_Int_Tables_number 1
_symmetry_space_group_name_Hall 'P 1'
_cell_length_a 5.9937
_cell_length_b 5.9937
_cell_length_c 5.9937
_cell_angle_alpha 46.22
_cell_angle_beta 46.22
_cell_angle_gamma 46.22
loop_
_atom_site_label
_atom_site_type_symbol
_atom_site_fract_x
_atom_site_fract_y
_atom_site_fract_z
_atom_site_occupancy
P1 P 0.0073 0.0073 0.0073 1
P2 P 0.4927 0.4927 0.4927 1
Ca1 Ca 0.7500 0.7500 0.7500 1
Sr1 Sr 0.2500 0.2500 0.2500 1
```

- Total magnetization: 0.00 μB/cell
- Formation energy: -2.8 eV/f.u.
- Raw total energy: -4.332 eV per atom
- Space-group type: R-3m